YZnCl | Alexandria via LeMat-Bulk | GGA-PBEsol | relaxed; crystal system = trigonal; DFT total energy = -4.258 eV/atom; Fermi-level density of states = 0.636 states/eV/atom; symmetry = P3m1 (156)
1.0
3.5550 0.0000 0.0000
-1.7775 3.0787 0.0000
0.0000 0.0000 6.9758
Y Zn Cl
1 1 1
Direct
0.0000 0.0000 0.0000
0.3333 0.6667 0.7054
0.6667 0.3333 0.2585

***

YZnCl | Alexandria via LeMat-Bulk | GGA-PBEsol | relaxed; crystal system = hexagonal; DFT total energy = -4.139 eV/atom; Fermi-level density of states = 0.982 states/eV/atom; symmetry = P-6m2 (187)
1.0
4.6132 0.0000 0.0000
-2.3066 3.9951 0.0000
0.0000 0.0000 3.6793
Y Zn Cl
1 1 1
Direct
0.0000 0.0000 0.0000
0.3333 0.6667 0.5000
0.6667 0.3333 0.0000

***

Y4ZnCl | Alexandria via LeMat-Bulk | GGA-PBEsol | relaxed; crystal system = cubic; DFT total energy = -4.744 eV/atom; Fermi-level density of states = 1.248 states/eV/atom; symmetry = F-43m (216)
1.0
0.0000 4.4168 4.4168
4.4168 0.0000 4.4168
4.4168 4.4168 0.0000
Y Zn Cl
4 1 1
Direct
0.3768 0.3768 0.3768
0.3768 0.3768 0.8697
0.3768 0.8697 0.3768
0.8697 0.3768 0.3768
0.7500 0.7500 0.7500
0.0000 0.0000 0.0000

***

YZr2Cl | Alexandria via LeMat-Bulk | GGA-PBEsol | relaxed; crystal system = orthorhombic; DFT total energy = -6.918 eV/atom; Fermi-level density of states = 1.303 states/eV/atom; relative energy among the computed polymorphs = 0.00 eV per formula unit; symmetry = Imm2 (44)
1.0
-1.5874 2.8657 4.9985
1.5874 -2.8657 4.9985
1.5874 2.8657 -4.9985
Y Zr Cl
1 2 1
Direct
0.0000 0.0000 0.0000
0.3038 0.8038 0.5000
0.5675 0.5675 0.0000
0.7750 0.2750 0.5000

***

YZr2Cl | Alexandria via LeMat-Bulk | GGA-PBEsol | relaxed; crystal system = orthorhombic; DFT total energy = -6.767 eV/atom; Fermi-level density of states = 0.926 states/eV/atom; relative energy among the computed polymorphs = 0.60 eV per formula unit; symmetry = Pmmm (47)
1.0
3.2579 0.0000 0.0000
0.0000 5.3475 0.0000
0.0000 0.0000 5.4332
Y Zr Cl
1 2 1
Direct
0.0000 0.0000 0.0000
0.5000 0.5000 0.2371
0.5000 0.5000 0.7629
0.0000 0.0000 0.5000

***

YZr3Cl | Alexandria via LeMat-Bulk | GGA-PBEsol | relaxed; crystal system = cubic; DFT total energy = -5.769 eV/atom; Fermi-level density of states = 1.709 states/eV/atom; symmetry = Pm-3m (221)
1.0
5.1886 0.0000 0.0000
0.0000 5.1886 0.0000
0.0000 0.0000 5.1886
Y Zr Cl
1 3 1
Direct
0.0000 0.0000 0.0000
0.0000 0.0000 0.5000
0.0000 0.5000 0.0000
0.5000 0.0000 0.0000
0.5000 0.5000 0.5000

***

ZnCl | Alexandria via LeMat-Bulk | GGA-PBEsol | relaxed; crystal system = hexagonal; DFT total energy = -1.963 eV/atom; Fermi-level density of states = 0.399 states/eV/atom; symmetry = P6_3mc (186)
1.0
3.4267 0.0000 0.0000
-1.7133 2.9676 0.0000
0.0000 0.0000 8.3501
Zn Cl
2 2
Direct
0.3333 0.6667 0.0000
0.6667 0.3333 0.5000
0.3333 0.6667 0.3044
0.6667 0.3333 0.8044

***

ZnCl | Alexandria via LeMat-Bulk | GGA-PBEsol | relaxed; crystal system = hexagonal; DFT total energy = -1.980 eV/atom; Fermi-level density of states = 0.418 states/eV/atom; symmetry = P6_3/mmc (194)
1.0
3.5780 0.0000 0.0000
-1.7890 3.0987 0.0000
0.0000 0.0000 7.0149
Zn Cl
2 2
Direct
0.3333 0.6667 0.2500
0.6667 0.3333 0.7500
0.0000 0.0000 0.0000
0.0000 0.0000 0.5000

***

ZnCl | Alexandria via LeMat-Bulk | GGA-PBEsol | relaxed; crystal system = cubic; DFT total energy = -1.662 eV/atom; Fermi-level density of states = 0.596 states/eV/atom; symmetry = Fd-3m (227)
1.0
0.0000 3.3514 3.3514
3.3514 0.0000 3.3514
3.3514 3.3514 0.0000
Zn Cl
2 2
Direct
0.1250 0.1250 0.1250
0.8750 0.8750 0.8750
0.3750 0.3750 0.3750
0.6250 0.6250 0.6250

***

ZnCl | Alexandria via LeMat-Bulk | GGA-PBEsol | relaxed; crystal system = cubic; DFT total energy = -1.875 eV/atom; Fermi-level density of states = 0.495 states/eV/atom; symmetry = Pm-3m (221)
1.0
3.2925 0.0000 0.0000
0.0000 3.2925 0.0000
0.0000 0.0000 3.2925
Zn Cl
1 1
Direct
0.0000 0.0000 0.0000
0.5000 0.5000 0.5000

***

Zn3Cl | Alexandria via LeMat-Bulk | GGA-PBEsol | relaxed; crystal system = cubic; DFT total energy = -1.475 eV/atom; Fermi-level density of states = 0.447 states/eV/atom; symmetry = Pm-3m (221)
1.0
4.1593 0.0000 0.0000
0.0000 4.1593 0.0000
0.0000 0.0000 4.1593
Zn Cl
3 1
Direct
0.0000 0.0000 0.5000
0.0000 0.5000 0.0000
0.5000 0.0000 0.0000
0.5000 0.5000 0.5000

***

ZrZnCl2 | Alexandria via LeMat-Bulk | GGA-PBEsol | relaxed; crystal system = trigonal; DFT total energy = -4.132 eV/atom; Fermi-level density of states = 0.375 states/eV/atom; symmetry = R-3m (166)
1.0
1.6725 0.9656 9.9318
-1.6725 0.9656 9.9318
0.0000 -1.9312 9.9318
Zr Zn Cl
1 1 2
Direct
0.0000 0.0000 0.0000
0.5000 0.5000 0.5000
0.0787 0.0787 0.0787
0.9213 0.9213 0.9213